No. 1
Density functional theory data (PBE) for AlCr2SiAs after structural relaxation.

Computed properties:
- raw total energy (eV per atom) = -5.710
- magnetic moment (Bohr magnetons per cell) = 6.51
- V (Å³ per cell) = 104.7
- space-group type = No. 123
- ΔE_f (raw) (eV per atom) = 0.90

Cell lengths 4.6866, 4.6866, 4.7656 Å; angles 90.00, 90.00, 90.00 degrees
Positions (direct):
Al 0.0000 0.0000 0.0000
Cr 0.0000 0.5000 0.5000
Cr 0.5000 0.0000 0.5000
Si 0.5000 0.5000 0.0000
As 0.5000 0.5000 0.5000

---

No. 2
Density functional theory data (PBE) for Al2TlCrAs after structural relaxation.

Computed properties:
- raw total energy (eV per atom) = -3.961
- magnetic moment (Bohr magnetons per cell) = 4.83
- V (Å³ per cell) = 135.0
- ΔH_f (0 K) (eV per atom) = 0.8638
- space-group type = No. 123

Cell lengths 4.8739, 4.8739, 5.6840 Å; angles 90.00, 90.00, 90.00 degrees
Positions (direct):
Al 0.0000 0.5000 0.0000
Al 0.5000 0.0000 0.0000
Tl 0.0000 0.0000 0.5000
Cr 0.5000 0.5000 0.5000
As 0.0000 0.0000 0.0000

---

No. 3
Density functional theory data (PBE) for AlVCr2As after structural relaxation.

Computed properties:
- raw total energy (eV per atom) = -6.207
- magnetic moment (Bohr magnetons per cell) = 0.00
- V (Å³ per cell) = 84.9
- ΔH_f (0 K) (eV per atom) = 1.1446
- space-group type = No. 123

Cell lengths 4.2227, 4.2227, 4.7595 Å; angles 90.00, 90.00, 90.00 degrees
Positions (direct):
Al 0.0000 0.0000 0.0000
V 0.0000 0.0000 0.5000
Cr 0.0000 0.5000 0.5000
Cr 0.5000 0.0000 0.5000
As 0.5000 0.5000 0.0000

---

No. 4
Density functional theory data (PBE) for Zr2AlCrAs after structural relaxation.

Computed properties:
- raw total energy (eV per atom) = -6.706
- magnetic moment (Bohr magnetons per cell) = 0.00
- V (Å³ per cell) = 105.2
- ΔH_f (0 K) (eV per atom) = 0.3160
- space-group type = No. 123

Cell lengths 4.7701, 4.7701, 4.6229 Å; angles 90.00, 90.00, 90.00 degrees
Positions (direct):
Zr 0.0000 0.5000 0.0000
Zr 0.5000 0.0000 0.0000
Al 0.0000 0.0000 0.5000
Cr 0.0000 0.0000 0.0000
As 0.5000 0.5000 0.5000

---

No. 5
Density functional theory data (PBE) for ZrAlCr2As after structural relaxation.

Computed properties:
- raw total energy (eV per atom) = -6.583
- magnetic moment (Bohr magnetons per cell) = 0.00
- V (Å³ per cell) = 95.7
- ΔH_f (0 K) (eV per atom) = 0.6539
- polymorph energy (0 for the lowest one) (meV per atom) = 47.6
- space-group type = No. 123

Cell lengths 4.3936, 4.3936, 4.9586 Å; angles 90.00, 90.00, 90.00 degrees
Positions (direct):
Zr 0.0000 0.0000 0.0000
Al 0.5000 0.5000 0.0000
Cr 0.0000 0.5000 0.5000
Cr 0.5000 0.0000 0.5000
As 0.0000 0.0000 0.5000

---

No. 6
Density functional theory data (PBE) for ZrAlCr2As after structural relaxation.

Computed properties:
- raw total energy (eV per atom) = -6.631
- magnetic moment (Bohr magnetons per cell) = 3.85
- V (Å³ per cell) = 95.1
- ΔH_f (0 K) (eV per atom) = 0.6063
- polymorph energy (0 for the lowest one) (meV per atom) = 0.0
- space-group type = No. 123

Cell lengths 4.4684, 4.4684, 4.7608 Å; angles 90.00, 90.00, 90.00 degrees
Positions (direct):
Zr 0.0000 0.0000 0.0000
Al 0.5000 0.5000 0.0000
Cr 0.0000 0.5000 0.5000
Cr 0.5000 0.0000 0.5000
As 0.5000 0.5000 0.5000

---

No. 7
Density functional theory data (PBE) for Cs2AlAs2 after structural relaxation.

Computed properties:
- raw total energy (eV per atom) = -3.412
- magnetic moment (Bohr magnetons per cell) = 1.10
- V (Å³ per cell) = 385.2
- ΔH_f (0 K) (eV per atom) = -0.4623
- space-group type = No. 72

Cell lengths 9.0357, 9.0357, 9.0357 Å; angles 128.15, 69.24, 137.46 degrees
Positions (direct):
Cs 0.1485 0.1678 0.3164
Cs 0.3515 0.6678 0.0193
Cs 0.6485 0.3322 0.9807
Cs 0.8515 0.8322 0.6836
Al 0.2500 0.7500 0.5000
Al 0.7500 0.2500 0.5000
As 0.0923 0.6682 0.7604
As 0.4077 0.1682 0.5759
As 0.5923 0.8318 0.4241
As 0.9077 0.3318 0.2396

---

No. 8
Density functional theory data (PBE) for CsAlAs after structural relaxation.

Computed properties:
- raw total energy (eV per atom) = -3.439
- magnetic moment (Bohr magnetons per cell) = 0.00
- V (Å³ per cell) = 244.7
- ΔH_f (0 K) (eV per atom) = -0.3576
- polymorph energy (0 for the lowest one) (meV per atom) = 68.8
- space-group type = No. 2

Cell lengths 4.5639, 4.5663, 11.7432 Å; angles 89.67, 89.33, 90.00 degrees
Positions (direct):
Cs 0.2414 0.2457 0.2813
Cs 0.7586 0.7543 0.7187
Al 0.2500 0.7500 0.9999
Al 0.7500 0.2500 0.0001
As 0.2533 0.2516 0.8913
As 0.7467 0.7484 0.1087

---

No. 9
Density functional theory data (PBE) for CsAlAs after structural relaxation.

Computed properties:
- raw total energy (eV per atom) = -3.379
- magnetic moment (Bohr magnetons per cell) = 0.00
- V (Å³ per cell) = 279.8
- ΔH_f (0 K) (eV per atom) = -0.2973
- polymorph energy (0 for the lowest one) (meV per atom) = 129.0
- space-group type = No. 8

Cell lengths 7.6910, 7.6910, 10.7909 Å; angles 121.28, 121.28, 31.37 degrees
Positions (direct):
Cs 0.0000 0.0000 0.0000
Cs 0.0020 0.0020 0.5004
Al 0.2497 0.2497 0.3902
Al 0.7536 0.7536 0.6090
As 0.3688 0.3688 0.6645
As 0.6346 0.6346 0.3348

---

No. 10
Density functional theory data (PBE) for CsAlAs after structural relaxation.

Computed properties:
- raw total energy (eV per atom) = -3.473
- magnetic moment (Bohr magnetons per cell) = 0.00
- V (Å³ per cell) = 196.4
- ΔH_f (0 K) (eV per atom) = -0.3907
- polymorph energy (0 for the lowest one) (meV per atom) = 35.7
- space-group type = No. 1

Cell lengths 4.1839, 5.8672, 8.6989 Å; angles 80.39, 89.93, 69.17 degrees
Positions (direct):
Cs 0.0000 0.0000 0.0000
Cs 0.3103 0.3878 0.2904
Al 0.2559 0.4881 0.7117
Al 0.5050 0.9907 0.6501
As 0.0568 0.8879 0.4996
As 0.6991 0.6010 0.8615

---

No. 11
Density functional theory data (PBE) for CsAlAs after structural relaxation.

Computed properties:
- raw total energy (eV per atom) = -3.471
- magnetic moment (Bohr magnetons per cell) = 0.19
- V (Å³ per cell) = 266.8
- ΔH_f (0 K) (eV per atom) = -0.3890
- polymorph energy (0 for the lowest one) (meV per atom) = 37.4
- space-group type = No. 1

Cell lengths 4.1413, 5.4447, 12.8466 Å; angles 84.77, 86.63, 67.71 degrees
Positions (direct):
Cs 0.0000 0.0000 0.0000
Cs 0.4473 0.3034 0.4513
Al 0.3019 0.4847 0.7537
Al 0.5681 0.9677 0.7114
As 0.1438 0.8532 0.6064
As 0.7238 0.6045 0.8568

---

No. 12
Density functional theory data (PBE) for CsAlAs after structural relaxation.

Computed properties:
- raw total energy (eV per atom) = -3.330
- magnetic moment (Bohr magnetons per cell) = 0.14
- V (Å³ per cell) = 98.5
- ΔH_f (0 K) (eV per atom) = -0.2478
- polymorph energy (0 for the lowest one) (meV per atom) = 178.6
- space-group type = No. 156

Cell lengths 4.1924, 4.1924, 6.4697 Å; angles 90.00, 90.00, 120.00 degrees
Positions (direct):
Cs 0.0000 0.0000 0.0000
Al 0.3333 0.6667 0.5521
As 0.6667 0.3333 0.4397